Computed, not measured: crystalline TbPmRuRh at its relaxed geometry at the GGA-PBE level of DFT.

As for the excess energy over the best structure of this formula in the dataset: 20 meV/atom. The formation energy is -492 meV per atom.

It has space group F-43m (No. 216), with a = 6.933 Å, b = 6.933 Å, c = 6.933 Å, α = 90.00°, β = 90.00° and γ = 90.00°. Symmetry generates all atoms from Tb at (0.000, 0.000, 0.000), Pm at (0.000, 0.000, 0.500), Ru at (0.250, 0.250, 0.250) and Rh at (0.250, 0.250, 0.750).

Computed, not measured: crystalline Ti2Be2SiRu5 at its relaxed geometry at the GGA-PBE level of DFT.

The calculation puts the formation energy from raw total energies at -0.50 eV per atom.

It has space group P4/mbm (No. 127), with a = 9.197 Å, b = 9.197 Å, c = 3.056 Å, α = 90.00°, β = 90.00° and γ = 90.00°. Symmetry generates all atoms from Ti at (0.172, 0.328, 0.000), Be at (0.127, 0.627, 0.000), Si at (0.000, 0.000, 0.000), Ru at (0.000, 0.500, 0.500) and Ru at (0.071, 0.798, 0.500).

Computed, not measured: crystalline TaCdTcO6 at its relaxed geometry at the GGA-PBE level of DFT.

The calculation puts the formation energy from raw total energies at -1.82 eV per atom.

It has space group P-31c (No. 163), with a = 5.2648 Å, b = 5.2648 Å, c = 9.7517 Å, α = 90.00°, β = 90.00° and γ = 120.00°. Symmetry generates all atoms from Ta at (0.3333, 0.6667, 0.2500), Cd at (0.0000, 0.0000, 0.0000), Tc at (0.3333, 0.6667, 0.7500) and O at (0.0026, 0.3664, 0.6395).

| no. | V (Å³/cell) |
| --- | --- |
| 1 | 333 |
| 2 | 258 |
| 3 | 234 |